Entry 1:
Material: AcPr5Nd3
Method: DFT, PBE
State: relaxed

- E_form: 262 kJ/mol of formula units
- Final energy: -4.40 eV per atom
- Calculated density: 6459 kg/m³

a b c (Å): 6.777 12.435 11.973
angles (deg): 131.70 90.00 105.81
Element x y z (fractional)
Pr 0.487 0.343 0.625
Pr 0.144 0.657 0.875
Pr 0.003 0.340 0.468
Pr 0.856 0.343 0.125
Pr 0.997 0.660 0.532
Pr 0.338 0.340 0.968
Pr 0.662 0.660 0.032
Pr 0.619 0.000 0.250
Pr 0.381 0.000 0.750
Pr 0.513 0.657 0.375
Ac 0.854 0.000 0.750
Ac 0.146 0.000 0.250
Nd 0.159 0.680 0.193
Nd 0.522 0.680 0.693
Nd 0.478 0.320 0.307
Nd 0.000 0.000 0.500
Nd 0.000 0.000 0.000
Nd 0.841 0.320 0.807

Entry 2:
Material: Ac8Pr3Nd2
Method: DFT, PBE
State: relaxed

- E_form: 252 kJ/mol of formula units
- Final energy: -4.16 eV per atom
- Calculated density: 7504 kg/m³

a b c (Å): 6.221 8.384 11.513
angles (deg): 111.35 90.00 90.00
Element x y z (fractional)
Ac 0.000 0.326 0.652
Ac 0.500 0.816 0.211
Ac 0.500 0.605 0.789
Ac 0.000 0.674 0.348
Ac 0.000 0.866 0.733
Ac 0.000 0.134 0.267
Ac 0.500 0.184 0.789
Ac 0.500 0.395 0.211
Pr 0.000 0.709 0.000
Pr 0.000 0.291 0.000
Pr 0.500 0.000 0.000
Nd 0.500 0.242 0.484
Nd 0.500 0.758 0.516

Entry 3:
Material: Ac4Pr3Nd
Method: DFT, PBE
State: relaxed

- E_form: 21 kJ/mol of formula units
- Final energy: -4.42 eV per atom
- Calculated density: 7601 kg/m³

a b c (Å): 7.653 7.653 11.004
angles (deg): 90.00 90.00 90.00
Element x y z (fractional)
Pr 0.000 0.310 0.000
Pr 0.750 0.561 0.250
Pr 0.250 0.061 0.250
Pr 0.750 0.561 0.750
Pr 0.000 0.810 0.500
Pr 0.250 0.061 0.750
Ac 0.250 0.561 0.249
Ac 0.999 0.811 0.000
Ac 0.501 0.310 0.000
Ac 0.499 0.810 0.500
Ac 0.750 0.061 0.749
Ac 0.250 0.561 0.751
Ac 0.001 0.311 0.500
Ac 0.750 0.061 0.251
Nd 0.500 0.811 0.000
Nd 0.500 0.311 0.500

Entry 4:
Material: AcPr7Nd4
Method: DFT, PBE
State: relaxed

- E_form: 18 kJ/mol of formula units
- Final energy: -4.70 eV per atom
- Calculated density: 6769 kg/m³

a b c (Å): 7.459 9.868 9.852
angles (deg): 69.12 79.12 40.84
Element x y z (fractional)
Nd 0.497 0.335 0.664
Nd 0.503 0.665 0.336
Nd 0.252 0.165 0.333
Nd 0.748 0.835 0.667
Pr 0.754 0.500 0.000
Pr 0.500 0.000 0.000
Pr 0.001 0.335 0.663
Pr 0.748 0.168 0.336
Pr 0.246 0.500 0.000
Pr 0.252 0.832 0.664
Pr 0.999 0.665 0.337
Ac 0.000 0.000 0.000

Entry 5:
Material: AcPrNd
Method: DFT, PBE
State: relaxed

- E_form: 8 kJ/mol of formula units
- Final energy: -4.52 eV per atom
- Calculated density: 7312 kg/m³

a b c (Å): 3.820 3.820 8.414
angles (deg): 103.12 103.12 90.00
Element x y z (fractional)
Pr 0.671 0.671 0.343
Ac 0.000 0.000 0.999
Nd 0.329 0.329 0.658

Entry 6:
Material: AcPr2Nd7
Method: DFT, PBE
State: relaxed

- E_form: 351 kJ/mol of formula units
- Final energy: -4.34 eV per atom
- Calculated density: 6561 kg/m³

a b c (Å): 3.619 10.638 10.638
angles (deg): 110.20 90.00 90.00
Element x y z (fractional)
Nd 0.000 0.672 0.328
Nd 0.500 0.127 0.389
Nd 0.500 0.873 0.611
Nd 0.000 0.328 0.672
Nd 0.500 0.611 0.873
Nd 0.500 0.389 0.127
Nd 0.500 0.500 0.500
Pr 0.500 0.177 0.823
Pr 0.500 0.823 0.177
Ac 0.000 0.000 0.000